An optimized crystal structure of LaTcAg2. Source: Alexandria, functional GGA-PBE.

a b c (Å): 5.9352 5.1267 3.0559
angles (deg): 79.17 79.84 112.55
Atoms (fractional coordinates):
Ag (0.0000, 0.0000, 0.0000)
Ag (0.0000, 0.5000, 0.5000)
La (0.5000, 0.5000, 0.0000)
Tc (0.5000, 0.0000, 0.5000)

* SG: C2/m, No. 12
* energy of formation from the pure elements: 0.347 eV/atom
* energy above the most stable polymorph in this dataset: 0.1341 eV/atom
* M_tot: 0.000 μB per cell
* density of states at the Fermi level: 3.17 states/eV/f.u.

An optimized crystal structure of Ca3AsW. Source: Alexandria, functional GGA-PBE.

a b c (Å): 5.4010 5.4010 5.4010
angles (deg): 90.00 90.00 90.00
Atoms (fractional coordinates):
As (0.5000, 0.5000, 0.5000)
Ca (0.0000, 0.5000, 0.0000)
Ca (0.0000, 0.0000, 0.5000)
Ca (0.5000, 0.0000, 0.0000)
W (0.0000, 0.0000, 0.0000)

* SG: Pm-3m, No. 221
* energy of formation from the pure elements: 0.955 eV/atom
* energy above the most stable polymorph in this dataset: 0.3982 eV/atom
* M_tot: 0.000 μB per cell
* density of states at the Fermi level: 6.08 states/eV/f.u.

An optimized crystal structure of Tl2ReTc. Source: Alexandria, functional GGA-PBE.

a b c (Å): 5.1471 5.1471 5.1471
angles (deg): 131.71 131.71 70.69
Atoms (fractional coordinates):
Re (0.5000, 0.5000, 0.0000)
Tc (0.7500, 0.2500, 0.5000)
Tl (0.0000, 0.0000, 0.0000)
Tl (0.2500, 0.7500, 0.5000)

* SG: I-4m2, No. 119
* energy of formation from the pure elements: 1.134 eV/atom
* energy above the most stable polymorph in this dataset: 0.7237 eV/atom
* M_tot: 0.581 μB per cell
* density of states at the Fermi level: 4.76 states/eV/f.u.

An optimized crystal structure of LaScSN2. Source: Alexandria, functional GGA-PBE.

a b c (Å): 4.1639 4.1639 5.0225
angles (deg): 90.00 90.00 90.00
Atoms (fractional coordinates):
Sc (0.0000, 0.0000, 0.0000)
S (0.0000, 0.0000, 0.5000)
N (0.0000, 0.5000, 0.0000)
N (0.5000, 0.0000, 0.0000)
La (0.5000, 0.5000, 0.5000)

* SG: P4/mmm, No. 123
* energy above the most stable polymorph in this dataset: 0.0000 eV/atom
* M_tot: 0.388 μB per cell
* density of states at the Fermi level: 2.37 states/eV/f.u.

An optimized crystal structure of TlCdAg2. Source: Alexandria, functional GGA-PBE.

a b c (Å): 4.3133 4.5227 4.3332
angles (deg): 90.00 90.00 90.00
Atoms (fractional coordinates):
Tl (0.0000, 0.5000, 0.5000)
Ag (0.0000, 0.0000, 0.0000)
Ag (0.5000, 0.5000, 0.0000)
Cd (0.5000, 0.0000, 0.5000)

* SG: Pmmm, No. 47
* energy of formation from the pure elements: 0.092 eV/atom
* energy above the most stable polymorph in this dataset: 0.0335 eV/atom
* M_tot: 0.000 μB per cell
* density of states at the Fermi level: 1.64 states/eV/f.u.

An optimized crystal structure of PSeCl2F. Source: Alexandria, functional GGA-PBE.

a b c (Å): 5.4596 5.4596 3.5699
angles (deg): 90.00 90.00 90.00
Atoms (fractional coordinates):
P (0.0000, 0.0000, 0.5000)
F (0.0000, 0.0000, 0.0000)
Se (0.5000, 0.5000, 0.5000)
Cl (0.0000, 0.5000, 0.0000)
Cl (0.5000, 0.0000, 0.0000)

* SG: P4/mmm, No. 123
* energy above the most stable polymorph in this dataset: 0.0439 eV/atom
* M_tot: 0.975 μB per cell
* density of states at the Fermi level: 4.04 states/eV/f.u.

An optimized crystal structure of BeSbPtI2. Source: Alexandria, functional GGA-PBE.

a b c (Å): 5.0428 5.0428 4.9510
angles (deg): 90.00 90.00 90.00
Atoms (fractional coordinates):
I (0.0000, 0.5000, 0.0000)
I (0.5000, 0.0000, 0.0000)
Sb (0.0000, 0.0000, 0.5000)
Pt (0.5000, 0.5000, 0.5000)
Be (0.0000, 0.0000, 0.0000)

* SG: P4/mmm, No. 123
* energy above the most stable polymorph in this dataset: 0.0632 eV/atom
* M_tot: 0.000 μB per cell
* density of states at the Fermi level: 4.43 states/eV/f.u.

An optimized crystal structure of Be2AlRe. Source: Alexandria, functional GGA-PBE.

a b c (Å): 2.6086 2.6086 7.7075
angles (deg): 90.00 90.00 106.47
Atoms (fractional coordinates):
Re (0.5000, 0.5000, 0.2500)
Al (0.5000, 0.5000, 0.7500)
Be (0.0000, 0.0000, 0.0123)
Be (0.0000, 0.0000, 0.4877)

* SG: Cmmm, No. 65
* energy of formation from the pure elements: 0.243 eV/atom
* M_tot: 0.000 μB per cell
* density of states at the Fermi level: 2.18 states/eV/f.u.

An optimized crystal structure of Sr2CaIn3Pt4. Source: Alexandria, functional GGA-PBE.

a b c (Å): 4.6311 4.6311 11.4991
angles (deg): 90.00 90.00 90.00
Atoms (fractional coordinates):
Sr (0.5000, 0.0000, 0.2261)
Sr (0.0000, 0.5000, 0.7739)
Ca (0.5000, 0.5000, 0.5000)
In (0.0000, 0.0000, 0.5000)
In (0.5000, 0.0000, 0.8783)
In (0.0000, 0.5000, 0.1217)
Pt (0.5000, 0.5000, 0.0000)
Pt (0.0000, 0.0000, 0.0000)
Pt (0.5000, 0.0000, 0.6448)
Pt (0.0000, 0.5000, 0.3552)

* SG: P-4m2, No. 115
* energy of formation from the pure elements: -0.717 eV/atom
* M_tot: 0.000 μB per cell
* density of states at the Fermi level: 2.73 states/eV/f.u.

An optimized crystal structure of PmTh2Ru. Source: Alexandria, functional GGA-PBE.

a b c (Å): 3.8430 3.8430 10.4898
angles (deg): 79.45 79.45 60.00
Atoms (fractional coordinates):
Ru (0.5000, 0.5000, 0.5000)
Th (0.1119, 0.1119, 0.6643)
Th (0.8881, 0.8881, 0.3357)
Pm (0.0000, 0.0000, 0.0000)

* SG: R-3m, No. 166
* energy of formation from the pure elements: 0.043 eV/atom
* energy above the most stable polymorph in this dataset: 0.3319 eV/atom
* M_tot: 0.000 μB per cell
* density of states at the Fermi level: 5.23 states/eV/f.u.

An optimized crystal structure of RbNbWI2. Source: Alexandria, functional GGA-PBE.

a b c (Å): 5.6031 7.6392 5.6031
angles (deg): 90.00 90.00 90.00
Atoms (fractional coordinates):
I (0.0000, 0.0000, 0.5000)
I (0.5000, 0.0000, 0.0000)
Nb (0.0000, 0.0000, 0.0000)
Rb (0.0000, 0.5000, 0.0000)
W (0.5000, 0.5000, 0.5000)

* SG: P4/mmm, No. 123
* uncorrected energy: -19.18 eV/f.u.
* M_tot: 8.498 μB per cell
* density of states at the Fermi level: 11.31 states/eV/f.u.

An optimized crystal structure of NaAu3C. Source: Alexandria, functional GGA-PBE.

a b c (Å): 4.4228 4.4228 4.4228
angles (deg): 90.00 90.00 90.00
Atoms (fractional coordinates):
Na (0.5000, 0.5000, 0.5000)
C (0.0000, 0.0000, 0.0000)
Au (0.0000, 0.5000, 0.0000)
Au (0.0000, 0.0000, 0.5000)
Au (0.5000, 0.0000, 0.0000)

* SG: Pm-3m, No. 221
* energy of formation from the pure elements: 0.364 eV/atom
* energy above the most stable polymorph in this dataset: 0.0000 eV/atom
* M_tot: 0.000 μB per cell
* density of states at the Fermi level: 0.33 states/eV/f.u.